(1)
# PBE-GGA La7Sm4Mg, optimized geometry
data_La7Sm4Mg
_space_group_name_H-M_alt 'P 1'
_space_group_IT_number 1
_cell_length_a 5.935
_cell_length_b 6.528
_cell_length_c 12.753
_cell_angle_alpha 86.43
_cell_angle_beta 76.54
_cell_angle_gamma 62.96
loop_
_space_group_symop_operation_xyz
'x,y,z'
loop_
_atom_site_label
_atom_site_fract_x
_atom_site_fract_y
_atom_site_fract_z
_atom_site_occupancy
La1 0.623 0.218 0.535 1
Sm1 0.387 0.428 0.799 1
Mg1 0.000 0.000 0.000 1
La2 0.200 0.503 0.097 1
La3 0.500 0.000 0.000 1
Sm2 0.613 0.572 0.201 1
La4 0.872 0.985 0.271 1
Sm3 0.875 0.617 0.632 1
La5 0.128 0.015 0.729 1
Sm4 0.125 0.383 0.368 1
La6 0.800 0.497 0.903 1
La7 0.377 0.782 0.465 1
# energy = -4.389 eV per atom
# V = 35.6 Å³ per atom
# spin magnetization = 0.00 Bohr magnetons per cell
# N(E_F) = 17.0 states/eV/f.u.
# energy of formation from the pure elements = 18 kJ/mol of atoms

(2)
# PBE-GGA K2SiAsS4, optimized geometry
data_K2SiAsS4
_space_group_name_H-M_alt 'P 1'
_space_group_IT_number 1
_cell_length_a 7.303
_cell_length_b 5.086
_cell_length_c 7.600
_cell_angle_alpha 106.10
_cell_angle_beta 110.96
_cell_angle_gamma 102.71
loop_
_space_group_symop_operation_xyz
'x,y,z'
loop_
_atom_site_label
_atom_site_fract_x
_atom_site_fract_y
_atom_site_fract_z
_atom_site_occupancy
K1 0.187 0.147 0.362 1
Si1 0.744 0.729 0.485 1
S1 0.010 0.147 0.705 1
As1 0.946 0.497 0.905 1
S2 0.454 0.717 0.291 1
S3 0.659 0.553 0.695 1
S4 0.907 0.538 0.347 1
K2 0.480 0.058 0.984 1
# energy = -4.325 eV per atom
# V = 29.6 Å³ per atom
# spin magnetization = 1.02 Bohr magnetons per cell
# N(E_F) = 0.3 states/eV/f.u.

(3)
# PBE-GGA Y2ZrN, optimized geometry
data_Y2ZrN
_space_group_name_H-M_alt 'P 1'
_space_group_IT_number 1
_cell_length_a 6.874
_cell_length_b 6.874
_cell_length_c 6.567
_cell_angle_alpha 58.44
_cell_angle_beta 58.44
_cell_angle_gamma 90.00
loop_
_space_group_symop_operation_xyz
'x,y,z'
loop_
_atom_site_label
_atom_site_fract_x
_atom_site_fract_y
_atom_site_fract_z
_atom_site_occupancy
N1 0.500 0.500 0.000 1
Zr1 0.000 0.000 0.000 1
Zr2 0.750 0.250 0.500 1
Y1 0.494 0.125 0.250 1
Y2 0.256 0.625 0.250 1
Y3 0.375 0.506 0.750 1
Y4 0.875 0.744 0.750 1
N2 0.250 0.750 0.500 1
# energy = -7.614 eV per atom
# V = 26.1 Å³ per atom
# spin magnetization = 0.00 Bohr magnetons per cell
# N(E_F) = 0.9 states/eV/f.u.

(4)
# PBE-GGA LaHo2Sc4, optimized geometry
data_LaHo2Sc4
_space_group_name_H-M_alt 'P 1'
_space_group_IT_number 1
_cell_length_a 8.134
_cell_length_b 8.134
_cell_length_c 6.557
_cell_angle_alpha 128.27
_cell_angle_beta 128.38
_cell_angle_gamma 90.00
loop_
_space_group_symop_operation_xyz
'x,y,z'
loop_
_atom_site_label
_atom_site_fract_x
_atom_site_fract_y
_atom_site_fract_z
_atom_site_occupancy
Ho1 0.250 0.750 0.500 1
Sc1 0.307 0.692 0.999 1
Sc2 0.308 0.308 0.000 1
Ho2 0.750 0.250 0.500 1
Sc3 0.693 0.307 0.000 1
La1 0.000 0.000 0.000 1
Sc4 0.692 0.692 0.000 1
# energy = -5.410 eV per atom
# ΔE to the lowest computed polymorph = 0.153 eV per atom
# V = 29.8 Å³ per atom
# spin magnetization = 3.22 Bohr magnetons per cell
# N(E_F) = 14.1 states/eV/f.u.
# energy of formation from the pure elements = 21 kJ/mol of atoms

(5)
# PBE-GGA Pu2TeRh, optimized geometry
data_Pu2TeRh
_space_group_name_H-M_alt 'P 1'
_space_group_IT_number 1
_cell_length_a 3.733
_cell_length_b 5.026
_cell_length_c 5.026
_cell_angle_alpha 90.00
_cell_angle_beta 90.00
_cell_angle_gamma 90.00
loop_
_space_group_symop_operation_xyz
'x,y,z'
loop_
_atom_site_label
_atom_site_fract_x
_atom_site_fract_y
_atom_site_fract_z
_atom_site_occupancy
Pu1 0.000 0.500 0.000 1
Rh1 0.500 0.000 0.000 1
Te1 0.500 0.500 0.500 1
Pu2 0.000 0.000 0.500 1
# energy = -10.296 eV per atom
# ΔE to the lowest computed polymorph = 0.143 eV per atom
# V = 23.6 Å³ per atom
# spin magnetization = 10.96 Bohr magnetons per cell
# N(E_F) = 16.7 states/eV/f.u.

(6)
# PBE-GGA CdGeSb2, optimized geometry
data_CdGeSb2
_space_group_name_H-M_alt 'P 1'
_space_group_IT_number 1
_cell_length_a 5.186
_cell_length_b 5.186
_cell_length_c 5.186
_cell_angle_alpha 60.00
_cell_angle_beta 60.00
_cell_angle_gamma 60.00
loop_
_space_group_symop_operation_xyz
'x,y,z'
loop_
_atom_site_label
_atom_site_fract_x
_atom_site_fract_y
_atom_site_fract_z
_atom_site_occupancy
Sb1 0.250 0.250 0.250 1
Cd1 0.500 0.500 0.500 1
Ge1 0.000 0.000 0.000 1
Sb2 0.750 0.750 0.750 1
# energy = -3.217 eV per atom
# V = 24.7 Å³ per atom
# spin magnetization = 0.00 Bohr magnetons per cell
# N(E_F) = 2.1 states/eV/f.u.

(7)
# PBE-GGA Pm3Y4Tm3, optimized geometry
data_Pm3Y4Tm3
_space_group_name_H-M_alt 'P 1'
_space_group_IT_number 1
_cell_length_a 3.689
_cell_length_b 9.410
_cell_length_c 9.410
_cell_angle_alpha 90.31
_cell_angle_beta 90.00
_cell_angle_gamma 90.00
loop_
_space_group_symop_operation_xyz
'x,y,z'
loop_
_atom_site_label
_atom_site_fract_x
_atom_site_fract_y
_atom_site_fract_z
_atom_site_occupancy
Tm1 0.000 0.002 0.506 1
Y1 0.000 0.627 0.373 1
Pm1 0.500 0.673 0.674 1
Y2 0.000 0.372 0.628 1
Pm2 0.500 0.827 0.173 1
Pm3 0.500 0.326 0.327 1
Y3 0.000 0.877 0.872 1
Tm2 0.500 0.173 0.827 1
Y4 0.000 0.128 0.123 1
Tm3 0.000 0.494 0.998 1
# energy = -5.238 eV per atom
# V = 32.7 Å³ per atom
# spin magnetization = 0.00 Bohr magnetons per cell
# N(E_F) = 7.9 states/eV/f.u.
# energy of formation from the pure elements = 11 kJ/mol of atoms

(8)
# PBE-GGA K3YPb, optimized geometry
data_K3YPb
_space_group_name_H-M_alt 'P 1'
_space_group_IT_number 1
_cell_length_a 6.791
_cell_length_b 6.791
_cell_length_c 6.791
_cell_angle_alpha 90.00
_cell_angle_beta 90.00
_cell_angle_gamma 90.00
loop_
_space_group_symop_operation_xyz
'x,y,z'
loop_
_atom_site_label
_atom_site_fract_x
_atom_site_fract_y
_atom_site_fract_z
_atom_site_occupancy
Y1 0.000 0.000 0.000 1
K1 0.000 0.500 0.000 1
K2 0.000 0.000 0.500 1
Pb1 0.500 0.500 0.500 1
K3 0.500 0.000 0.000 1
# energy = -1.669 eV per atom
# ΔE to the lowest computed polymorph = 0.376 eV per atom
# V = 62.6 Å³ per atom
# spin magnetization = 1.16 Bohr magnetons per cell
# N(E_F) = 12.8 states/eV/f.u.
# energy of formation from the pure elements = 99 kJ/mol of atoms